A relaxed structure of Cs2GaSCl6. Source: Alexandria, functional PBE-GGA.

Summary:
* E_form (uncorrected): -1.070 eV/atom
* size of the total moment: 0.00 μB/cell
* D(E_F): 3.99 states/eV/f.u.

Cell: 7.083 7.083 7.781 Å, 62.92 62.92 90.00°
Sites, in units of the cell vectors:
1 Cs 0.750 0.250 0.500
2 Cs 0.250 0.750 0.500
3 S 0.500 0.500 0.000
4 Ga 0.000 0.000 0.000
5 Cl 0.200 0.200 0.599
6 Cl 0.800 0.800 0.401
7 Cl 0.254 0.254 0.000
8 Cl 0.746 0.746 0.000
9 Cl 0.746 0.254 0.000
10 Cl 0.254 0.746 0.000



A relaxed structure of Mg2ZnCdH. Source: Alexandria, functional PBE-GGA.

Summary:
* electronic total energy: -1.64 eV per atom
* size of the total moment: 0.00 μB/cell
* D(E_F): 2.24 states/eV/f.u.

Cell: 4.222 4.222 4.696 Å, 90.00 90.00 90.00°
Sites, in units of the cell vectors:
1 H 0.000 0.000 0.000
2 Zn 0.500 0.500 0.500
3 Mg 0.000 0.500 0.000
4 Mg 0.500 0.000 0.000
5 Cd 0.000 0.000 0.500



A relaxed structure of K4AcTa3O12. Source: Alexandria, functional PBE-GGA.

Summary:
* E_form (uncorrected): -2.387 eV/atom
* size of the total moment: 1.28 μB/cell
* D(E_F): 12.30 states/eV/f.u.

Cell: 7.331 7.331 7.331 Å, 109.47 109.47 109.47°
Sites, in units of the cell vectors:
1 K 0.500 0.500 0.500
2 K 0.000 0.000 0.500
3 K 0.500 0.000 0.000
4 K 0.000 0.500 0.000
5 Ac 0.000 0.000 0.000
6 Ta 0.500 0.000 0.500
7 Ta 0.500 0.500 0.000
8 Ta 0.000 0.500 0.500
9 O 0.250 0.500 0.750
10 O 0.724 0.000 0.724
11 O 0.276 0.000 0.276
12 O 0.750 0.500 0.250
13 O 0.724 0.724 0.000
14 O 0.276 0.276 0.000
15 O 0.750 0.250 0.500
16 O 0.250 0.750 0.500
17 O 0.500 0.250 0.750
18 O 0.000 0.724 0.724
19 O 0.500 0.750 0.250
20 O 0.000 0.276 0.276



A relaxed structure of V3ReTe. Source: Alexandria, functional PBE-GGA.

Summary:
* E_form (uncorrected): 1.018 eV/atom
* size of the total moment: 3.06 μB/cell
* D(E_F): 9.98 states/eV/f.u.

Cell: 4.677 4.677 4.677 Å, 90.00 90.00 90.00°
Sites, in units of the cell vectors:
1 Re 0.000 0.000 0.000
2 Te 0.500 0.500 0.500
3 V 0.000 0.500 0.000
4 V 0.000 0.000 0.500
5 V 0.500 0.000 0.000



A relaxed structure of MgNiHgN2. Source: Alexandria, functional PBE-GGA.

Summary:
* E_form (uncorrected): 1.564 eV/atom
* size of the total moment: 2.02 μB/cell
* D(E_F): 4.24 states/eV/f.u.

Cell: 3.911 5.407 3.911 Å, 90.00 90.00 90.00°
Sites, in units of the cell vectors:
1 Ni 0.500 0.500 0.500
2 Mg 0.000 0.000 0.000
3 Hg 0.000 0.500 0.000
4 N 0.000 0.000 0.500
5 N 0.500 0.000 0.000



A relaxed structure of CeTi2BeP4. Source: Alexandria, functional PBE-GGA.

Summary:
* size of the total moment: 0.91 μB/cell
* D(E_F): 6.68 states/eV/f.u.
* energy relative to the elements: -0.950 eV/atom

Cell: 3.679 6.294 12.303 Å, 90.00 90.00 106.99°
Sites, in units of the cell vectors:
1 Ce 0.121 0.241 0.750
2 Ce 0.879 0.759 0.250
3 Ti 0.372 0.745 0.556
4 Ti 0.628 0.255 0.056
5 Ti 0.628 0.255 0.444
6 Ti 0.372 0.745 0.944
7 Be 0.850 0.701 0.750
8 Be 0.150 0.299 0.250
9 P 0.263 0.527 0.115
10 P 0.737 0.473 0.615
11 P 0.737 0.473 0.885
12 P 0.263 0.527 0.385
13 P 0.000 0.000 0.500
14 P 0.000 0.000 0.000
15 P 0.443 0.886 0.750
16 P 0.557 0.114 0.250